i.
# PBE-GGA BaCrCl3, relaxed
data_BaCrCl3
_chemical_formula_sum 'Ba1 Cr1 Cl3'
_cell_length_a 5.076
_cell_length_b 5.076
_cell_length_c 5.076
_cell_angle_alpha 90.00
_cell_angle_beta 90.00
_cell_angle_gamma 90.00
_space_group_name_H-M_alt 'P m -3 m'
_space_group_IT_number 221
_space_group_name_Hall '-P 4 2 3'
loop_
_atom_site_label
_atom_site_fract_x
_atom_site_fract_y
_atom_site_fract_z
Ba1 0.000 0.000 0.000
Cr1 0.500 0.500 0.500
Cl1 0.000 0.500 0.500
# Fermi-level density of states: 1.80 states/eV/cell
# Total moment: 0.95 μB/atom

---

ii.
# PBE-GGA BaCrCl3, relaxed
data_BaCrCl3
_chemical_formula_sum 'Ba1 Cr1 Cl3'
_cell_length_a 5.971
_cell_length_b 5.971
_cell_length_c 5.971
_cell_angle_alpha 90.00
_cell_angle_beta 90.00
_cell_angle_gamma 90.00
_space_group_name_H-M_alt 'P m -3 m'
_space_group_IT_number 221
_space_group_name_Hall '-P 4 2 3'
loop_
_atom_site_label
_atom_site_fract_x
_atom_site_fract_y
_atom_site_fract_z
Ba1 0.000 0.000 0.000
Cr1 0.500 0.500 0.500
Cl1 0.000 0.000 0.500
# Fermi-level density of states: 0.14 states/eV/cell
# Total moment: 1.00 μB/atom

---

The structures above, arranged from the most stable to the least stable: i, ii.